Record 1
# GGA-PBE Sm2Cu2Hg, relaxed
data_Sm2Cu2Hg
_cell_length_a 4.206
_cell_length_b 14.281
_cell_length_c 3.742
_cell_angle_alpha 90.00
_cell_angle_beta 90.00
_cell_angle_gamma 90.00
_space_group_name_H-M_alt 'C m m m'
_space_group_IT_number 65
_space_group_name_Hall '-C 2 2'
loop_
_atom_site_label
_atom_site_fract_x
_atom_site_fract_y
_atom_site_fract_z
_atom_site_occupancy
Sm1 0.000 0.133 0.000 1
Cu1 0.000 0.298 0.500 1
Hg1 0.000 0.500 0.500 1
# - Energy: -3.919 eV per atom
# - Formation enthalpy at 0 K: -0.33 eV/atom
# - Total magnetic moment: 0.000 μB/atom

Record 2
# GGA-PBE Sm5Cu2Hg2, relaxed
data_Sm5Cu2Hg2
_cell_length_a 17.221
_cell_length_b 7.470
_cell_length_c 7.478
_cell_angle_alpha 90.00
_cell_angle_beta 90.00
_cell_angle_gamma 90.00
_space_group_name_H-M_alt 'C m c e'
_space_group_IT_number 64
_space_group_name_Hall '-C 2ac 2'
loop_
_atom_site_label
_atom_site_fract_x
_atom_site_fract_y
_atom_site_fract_z
_atom_site_occupancy
Sm1 0.000 0.000 0.000 1
Sm2 0.130 0.181 0.325 1
Cu1 0.000 0.119 0.620 1
Hg1 0.222 0.000 0.000 1
# - Energy: -3.842 eV per atom
# - Formation enthalpy at 0 K: -0.24 eV/atom
# - Total magnetic moment: 0.000 μB/atom

Record 3
# GGA-PBE Sm5Cu4Hg, relaxed
data_Sm5Cu4Hg
_cell_length_a 3.579
_cell_length_b 3.579
_cell_length_c 18.194
_cell_angle_alpha 90.00
_cell_angle_beta 90.00
_cell_angle_gamma 90.00
_space_group_name_H-M_alt 'P 4/m m m'
_space_group_IT_number 123
_space_group_name_Hall '-P 4 2'
loop_
_atom_site_label
_atom_site_fract_x
_atom_site_fract_y
_atom_site_fract_z
_atom_site_occupancy
Sm1 0.000 0.000 0.000 1
Sm2 0.000 0.000 0.194 1
Sm3 0.000 0.000 0.386 1
Cu1 0.500 0.500 0.098 1
Cu2 0.500 0.500 0.290 1
Hg1 0.500 0.500 0.500 1
# - Energy: -4.262 eV per atom
# - Formation enthalpy at 0 K: -0.23 eV/atom
# - Total magnetic moment: 0.000 μB/atom

Record 4
# GGA-PBE Sm2Cu2Hg3, relaxed
data_Sm2Cu2Hg3
_cell_length_a 4.322
_cell_length_b 19.903
_cell_length_c 3.775
_cell_angle_alpha 90.00
_cell_angle_beta 90.00
_cell_angle_gamma 90.00
_space_group_name_H-M_alt 'C m m m'
_space_group_IT_number 65
_space_group_name_Hall '-C 2 2'
loop_
_atom_site_label
_atom_site_fract_x
_atom_site_fract_y
_atom_site_fract_z
_atom_site_occupancy
Sm1 0.000 0.168 0.000 1
Cu1 0.000 0.282 0.500 1
Hg1 0.000 0.000 0.000 1
Hg2 0.000 0.421 0.500 1
# - Energy: -2.916 eV per atom
# - Formation enthalpy at 0 K: -0.27 eV/atom
# - Total magnetic moment: 0.000 μB/atom

Record 5
# GGA-PBE SmCuHg2, relaxed
data_SmCuHg2
_cell_length_a 3.448
_cell_length_b 3.448
_cell_length_c 7.337
_cell_angle_alpha 90.00
_cell_angle_beta 90.00
_cell_angle_gamma 90.00
_space_group_name_H-M_alt 'P 4/m m m'
_space_group_IT_number 123
_space_group_name_Hall '-P 4 2'
loop_
_atom_site_label
_atom_site_fract_x
_atom_site_fract_y
_atom_site_fract_z
_atom_site_occupancy
Sm1 0.000 0.000 0.000 1
Cu1 0.000 0.000 0.500 1
Hg1 0.500 0.500 0.292 1
# - Energy: -2.503 eV per atom
# - Formation enthalpy at 0 K: -0.15 eV/atom
# - Total magnetic moment: 0.068 μB/atom

Record 6
# GGA-PBE Sm4Cu3Hg, relaxed
data_Sm4Cu3Hg
_cell_length_a 3.613
_cell_length_b 5.152
_cell_length_c 10.190
_cell_angle_alpha 90.00
_cell_angle_beta 90.00
_cell_angle_gamma 90.00
_space_group_name_H-M_alt 'P m m m'
_space_group_IT_number 47
_space_group_name_Hall '-P 2 2'
loop_
_atom_site_label
_atom_site_fract_x
_atom_site_fract_y
_atom_site_fract_z
_atom_site_occupancy
Sm1 0.000 0.000 0.000 1
Sm2 0.000 0.000 0.500 1
Sm3 0.000 0.500 0.236 1
Cu1 0.500 0.000 0.247 1
Cu2 0.500 0.500 0.000 1
Hg1 0.500 0.500 0.500 1
# - Energy: -4.166 eV per atom
# - Formation enthalpy at 0 K: -0.23 eV/atom
# - Total magnetic moment: 0.000 μB/atom